A relaxed PdRhI4 crystal, computed with PBE.

Lattice parameters (Å, degrees): 7.0638 4.0285 7.1558 90.00 103.02 90.00
Fractional coordinates of all 6 atoms:
Pd (0.0000, 0.0000, 0.0000)
Rh (0.5000, 0.5000, 0.5000)
I (0.2328, 0.5000, 0.1532)
I (0.3123, 0.0000, 0.6347)
I (0.6877, 0.0000, 0.3653)
I (0.7672, 0.5000, 0.8468)

Properties
For the uncorrected formation energy, the calculation gives -171 meV/atom. Its symmetry is No. 10. The uncorrected energy comes out at -3.295 eV per atom.